<i>
HoTmCuAg: relaxed, PBE-GGA.

Results
The total moment comes out at 0.00 μB/cell. The space-group type is P4mm.

Cell lengths 3.502, 3.502, 7.119 Å; angles 90.00, 90.00, 90.00 degrees
Element x y z (fractional)
Ho 0.500 0.500 0.593
Tm 0.500 0.500 0.121
Cu 0.000 0.000 0.352
Ag 0.000 0.000 0.862


<ii>
HoTmCuAg: relaxed, PBE-GGA.

Results
The total moment comes out at 0.00 μB/cell. The space-group type is F-43m.

Cell lengths 4.992, 4.992, 4.992 Å; angles 60.00, 60.00, 60.00 degrees
Element x y z (fractional)
Tm 0.500 0.500 0.500
Ho 0.000 0.000 0.000
Ag 0.750 0.750 0.750
Cu 0.250 0.250 0.250


We find <i> to be the most stable, with the next structure 18 meV/atom higher.


<i>
CuAgI2: relaxed, PBE-GGA.

Results
The total moment comes out at 0.00 μB/cell. The space-group type is R-3m.

Cell lengths 4.594, 4.594, 8.414 Å; angles 74.16, 74.16, 60.00 degrees
Element x y z (fractional)
I 0.101 0.101 0.697
I 0.899 0.899 0.303
Cu 0.000 0.000 0.000
Ag 0.500 0.500 0.500


<ii>
CuAgI2: relaxed, PBE-GGA.

Results
The total moment comes out at 0.00 μB/cell. The space-group type is I-42d.

Cell lengths 6.399, 6.399, 7.707 Å; angles 65.47, 65.47, 90.00 degrees
Element x y z (fractional)
I 0.594 0.125 0.250
I 0.156 0.625 0.250
I 0.375 0.406 0.750
I 0.875 0.844 0.750
Cu 0.500 0.500 0.000
Cu 0.250 0.750 0.500
Ag 0.000 0.000 0.000
Ag 0.750 0.250 0.500


We find <ii> to be the most stable, with the next structure 128 meV/atom higher.


<i>
CuAgI2: relaxed, PBE-GGA.

Results
The total moment comes out at 0.00 μB/cell. The space-group type is Fm-3m.

Cell lengths 5.328, 5.328, 5.328 Å; angles 60.00, 60.00, 60.00 degrees
Element x y z (fractional)
I 0.250 0.250 0.250
I 0.750 0.750 0.750
Cu 0.000 0.000 0.000
Ag 0.500 0.500 0.500


<ii>
CuAgI2: relaxed, PBE-GGA.

Results
The total moment comes out at 0.00 μB/cell. The space-group type is Pc.

Cell lengths 4.388, 6.349, 9.141 Å; angles 89.99, 90.00, 90.01 degrees
Element x y z (fractional)
Cu 0.202 0.844 0.225
Cu 0.702 0.343 0.991
Ag 0.200 0.888 0.737
Ag 0.699 0.388 0.479
I 0.702 0.617 0.213
I 0.701 0.585 0.754
I 0.200 0.085 0.462
I 0.202 0.117 0.003


We find <ii> to be the most stable, with the next structure 561 meV/atom higher.